Entry 1:
Compound: BaScHg6
Source: OQMD via LeMat-Bulk
Functional: GGA-PBE
Structure: optimized geometry

Computed properties:
* E_tot: -1.497 eV per atom
* size of the total moment: 0.013 μB per formula unit

Lattice parameters (Å, degrees): 6.8087 6.8087 5.0890 90.00 90.00 120.00
Space group P-6m2 (No. 187)
Asymmetric unit:
1 Ba 0.0000 0.0000 0.0000 (multiplicity 1)
2 Sc 0.3333 0.6667 0.5000 (multiplicity 1)
3 Hg 0.0183 0.5092 0.0000 (multiplicity 3)
4 Hg 0.3606 0.1803 0.5000 (multiplicity 3)

***

Entry 2:
Compound: HgTePdO
Source: OQMD via LeMat-Bulk
Functional: GGA-PBE
Structure: optimized geometry

Computed properties:
* E_tot: -3.268 eV per atom

Lattice parameters (Å, degrees): 4.590 4.590 8.285 90.00 90.00 90.00
Space group P4/nmm (No. 129, origin choice 2)
Asymmetric unit:
1 Hg 0.250 0.250 0.172 (multiplicity 2)
2 Te 0.250 0.750 0.500 (multiplicity 2)
3 Pd 0.250 0.250 0.680 (multiplicity 2)
4 O 0.250 0.250 0.919 (multiplicity 2)

***

Entry 3:
Compound: Pr2TmMg3ZnIn2
Source: OQMD via LeMat-Bulk
Functional: GGA-PBE
Structure: optimized geometry

Computed properties:
* E_tot: -3.187 eV per atom
* size of the total moment: 0.008 μB per formula unit

Lattice parameters (Å, degrees): 4.675 12.957 7.690 90.00 90.00 90.00
Space group Amm2 (No. 38)
Asymmetric unit:
1 Pr 0.000 0.206 0.000 (multiplicity 4)
2 Tm 0.000 0.000 0.381 (multiplicity 2)
3 Mg 0.500 0.000 0.024 (multiplicity 2)
4 Mg 0.500 0.118 0.673 (multiplicity 4)
5 Zn 0.000 0.000 0.779 (multiplicity 2)
6 In 0.500 0.161 0.294 (multiplicity 4)

***

Entry 4:
Compound: Hf2CoGe
Source: OQMD via LeMat-Bulk
Functional: GGA-PBE
Structure: optimized geometry

Computed properties:
* E_tot: -7.758 eV per atom
* size of the total moment: 2.288 μB per formula unit

Lattice parameters (Å, degrees): 6.485 6.485 6.485 90.00 90.00 90.00
Space group F-43m (No. 216)
Asymmetric unit:
1 Hf 0.000 0.000 0.000 (multiplicity 4)
2 Hf 0.250 0.250 0.250 (multiplicity 4)
3 Co 0.250 0.250 0.750 (multiplicity 4)
4 Ge 0.000 0.000 0.500 (multiplicity 4)